No. 1
# CdPRu2 (PBE, optimized geometry)
data_CdPRu2
_chemical_formula_sum 'Cd1 P1 Ru2'
_symmetry_space_group_name_H-M 'P 1'
_symmetry_Int_Tables_number 1
_cell_length_a 5.086
_cell_length_b 5.086
_cell_length_c 2.890
_cell_angle_alpha 74.85
_cell_angle_beta 74.85
_cell_angle_gamma 110.76
loop_
_symmetry_equiv_pos_as_xyz
'x,y,z'
loop_
_atom_site_label
_atom_site_type_symbol
_atom_site_fract_x
_atom_site_fract_y
_atom_site_fract_z
P1 P 0.500 0.500 0.500
Ru1 Ru 0.000 0.500 0.000
Ru2 Ru 0.500 0.000 0.000
Cd1 Cd 0.000 0.000 0.500
# V: 15.5 Å³ per atom
# ΔH_f (0 K): 0.4913 eV per atom

***

No. 2
# TbHoInSn (PBE, optimized geometry)
data_TbHoInSn
_chemical_formula_sum 'Tb1 Ho1 In1 Sn1'
_symmetry_space_group_name_H-M 'P 1'
_symmetry_Int_Tables_number 1
_cell_length_a 5.332
_cell_length_b 5.332
_cell_length_c 5.332
_cell_angle_alpha 60.00
_cell_angle_beta 60.00
_cell_angle_gamma 60.00
loop_
_symmetry_equiv_pos_as_xyz
'x,y,z'
loop_
_atom_site_label
_atom_site_type_symbol
_atom_site_fract_x
_atom_site_fract_y
_atom_site_fract_z
Tb1 Tb 0.000 0.000 0.000
Sn1 Sn 0.250 0.250 0.250
In1 In 0.750 0.750 0.750
Ho1 Ho 0.500 0.500 0.500
# V: 26.8 Å³ per atom
# ΔH_f (0 K): -0.5008 eV per atom

***

No. 3
# ZnSnHRh2 (PBE, optimized geometry)
data_ZnSnHRh2
_chemical_formula_sum 'Zn1 Sn1 H1 Rh2'
_symmetry_space_group_name_H-M 'P 1'
_symmetry_Int_Tables_number 1
_cell_length_a 4.117
_cell_length_b 4.117
_cell_length_c 3.803
_cell_angle_alpha 90.00
_cell_angle_beta 90.00
_cell_angle_gamma 90.00
loop_
_symmetry_equiv_pos_as_xyz
'x,y,z'
loop_
_atom_site_label
_atom_site_type_symbol
_atom_site_fract_x
_atom_site_fract_y
_atom_site_fract_z
Rh1 Rh 0.000 0.500 0.000
Rh2 Rh 0.500 0.000 0.000
Sn1 Sn 0.500 0.500 0.500
H1 H 0.000 0.000 0.000
Zn1 Zn 0.000 0.000 0.500
# DFT total energy: -24.57 eV/f.u.
# V: 12.9 Å³ per atom